# NiOs5 (GGA-PBE, optimized geometry)
# DOS at the Fermi energy in states/eV/cell: 8.68
# ΔE_f in kJ/mol of atoms: 5.9
# Calculated total energy in eV per formula unit: -61.6
# Total magnetization in μB/atom: 0.000
data_NiOs5
_chemical_formula_sum 'Ni2 Os10'
_cell_length_a 4.317
_cell_length_b 2.741
_cell_length_c 14.072
_cell_angle_alpha 90.00
_cell_angle_beta 90.00
_cell_angle_gamma 90.00
_symmetry_space_group_name_H-M 'A m m 2'
_symmetry_Int_Tables_number 38
_symmetry_space_group_name_Hall 'A 2 -2'
loop_
_atom_site_label
_atom_site_type_symbol
_atom_site_fract_x
_atom_site_fract_y
_atom_site_fract_z
_atom_site_occupancy
Ni1 Ni 0.000 0.000 0.000 1
Os1 Os 0.000 0.000 0.333 1
Os2 Os 0.000 0.000 0.665 1
Os3 Os 0.500 0.000 0.221 1
Os4 Os 0.500 0.000 0.553 1
Os5 Os 0.500 0.000 0.891 1


# Ni5Os (GGA-PBE, optimized geometry)
# DOS at the Fermi energy in states/eV/cell: 46.79
# ΔE_f in kJ/mol of atoms: 24.0
# Calculated total energy in eV per formula unit: -38.6
# Total magnetization in μB/atom: 0.637
data_Ni5Os
_chemical_formula_sum 'Ni20 Os4'
_cell_length_a 6.538
_cell_length_b 6.538
_cell_length_c 6.538
_cell_angle_alpha 90.00
_cell_angle_beta 90.00
_cell_angle_gamma 90.00
_symmetry_space_group_name_H-M 'F -4 3 m'
_symmetry_Int_Tables_number 216
_symmetry_space_group_name_Hall 'F -4 2 3'
loop_
_atom_site_label
_atom_site_type_symbol
_atom_site_fract_x
_atom_site_fract_y
_atom_site_fract_z
_atom_site_occupancy
Ni1 Ni 0.000 0.000 0.000 1
Ni2 Ni 0.125 0.125 0.625 1
Os1 Os 0.250 0.250 0.250 1


> Which formula does entry 1 have?

NiOs5


> Look up the calculated total energy of the second one.

-38.6 eV per formula unit